[1]
Below is TlSbS4 after structural relaxation, with properties calculated at the PBE-GGA level.

## Properties
Offset from the most stable computed form = 0.000 eV per atom
Raw formation energy = -5 kJ/mol of atoms
N(E_F) = 0.48 states/eV per atom
Symmetry = No. 13

Lattice parameters (Å, degrees): 7.471 8.672 6.555 90.00 109.96 90.00
Fractional coordinates of all 12 atoms:
1 Tl 0.000 0.167 0.250
2 Tl 0.000 0.833 0.750
3 Sb 0.500 0.107 0.750
4 Sb 0.500 0.893 0.250
5 S 0.136 0.486 0.543
6 S 0.136 0.514 0.043
7 S 0.282 0.079 0.006
8 S 0.282 0.921 0.506
9 S 0.718 0.079 0.494
10 S 0.718 0.921 0.994
11 S 0.864 0.486 0.957
12 S 0.864 0.514 0.457



[2]
Below is Tm2Tl2SbS6 after structural relaxation, with properties calculated at the PBE-GGA level.

## Properties
Raw formation energy = -106 kJ/mol of atoms
N(E_F) = 0.39 states/eV per atom
Symmetry = No. 12

Lattice parameters (Å, degrees): 6.798 6.798 7.927 98.62 98.62 119.82
Fractional coordinates of all 11 atoms:
1 Tm 0.167 0.833 0.000
2 Tm 0.833 0.167 0.000
3 Tl 0.328 0.672 0.500
4 Tl 0.672 0.328 0.500
5 Sb 0.500 0.500 0.000
6 S 0.106 0.432 0.806
7 S 0.242 0.242 0.193
8 S 0.432 0.106 0.806
9 S 0.568 0.894 0.194
10 S 0.758 0.758 0.807
11 S 0.894 0.568 0.194



Q: The highest N(E_F) belongs to which entry?
A: TlSbS4